(1)
Here is Si2Rh after structural relaxation from the Alexandria database. Energies are from PBE-GGA. Values from VASP.

The structure in Quantum ESPRESSO input format:
```
&SYSTEM
  ibrav = 0, nat = 12, ntyp = 2
/
ATOMIC_SPECIES
Si 28.09 Si.upf
Rh 102.91 Rh.upf
CELL_PARAMETERS angstrom
5.825 0.000 0.000
0.000 5.825 0.000
0.000 0.000 5.825
ATOMIC_POSITIONS crystal
Si 0.123 0.123 0.123
Si 0.123 0.377 0.623
Si 0.377 0.623 0.123
Si 0.377 0.877 0.623
Si 0.623 0.123 0.377
Si 0.623 0.377 0.877
Si 0.877 0.623 0.377
Si 0.877 0.877 0.877
Rh 0.000 0.000 0.500
Rh 0.000 0.500 0.000
Rh 0.500 0.000 0.000
Rh 0.500 0.500 0.500
```

Values from the calculation:
E_form (uncorrected) (eV/atom): -0.08
Density of states at the Fermi level (states/eV/atom): 0.51

---

(2)
Here is SiRh after structural relaxation from the Alexandria database. Energies are from PBE-GGA. Values from VASP.

The structure in Quantum ESPRESSO input format:
```
&SYSTEM
  ibrav = 0, nat = 8, ntyp = 2
/
ATOMIC_SPECIES
Si 28.09 Si.upf
Rh 102.91 Rh.upf
CELL_PARAMETERS angstrom
4.723 0.000 0.000
0.000 4.723 0.000
0.000 0.000 4.723
ATOMIC_POSITIONS crystal
Si 0.158 0.342 0.658
Si 0.342 0.658 0.158
Si 0.658 0.158 0.342
Si 0.842 0.842 0.842
Rh 0.153 0.153 0.153
Rh 0.347 0.847 0.653
Rh 0.653 0.347 0.847
Rh 0.847 0.653 0.347
```

Values from the calculation:
E_form (uncorrected) (eV/atom): -0.79
Density of states at the Fermi level (states/eV/atom): 0.26

---

(3)
Here is Si2Rh after structural relaxation from the Alexandria database. Energies are from PBE-GGA. Values from VASP.

The structure in Quantum ESPRESSO input format:
```
&SYSTEM
  ibrav = 0, nat = 3, ntyp = 2
/
ATOMIC_SPECIES
Si 28.09 Si.upf
Rh 102.91 Rh.upf
CELL_PARAMETERS angstrom
3.553 0.000 0.000
0.000 3.553 0.000
0.000 0.000 3.584
ATOMIC_POSITIONS crystal
Si 0.000 0.500 0.000
Si 0.500 0.000 0.000
Rh 0.000 0.000 0.500
```

Values from the calculation:
E_form (uncorrected) (eV/atom): -0.15
Density of states at the Fermi level (states/eV/atom): 0.66

---

(4)
Here is Si13Rh20 after structural relaxation from the Alexandria database. Energies are from PBE-GGA. Values from VASP.

The structure in Quantum ESPRESSO input format:
```
&SYSTEM
  ibrav = 0, nat = 33, ntyp = 2
/
ATOMIC_SPECIES
Si 28.09 Si.upf
Rh 102.91 Rh.upf
CELL_PARAMETERS angstrom
11.950 0.000 0.000
-5.975 10.349 0.000
0.000 0.000 3.645
ATOMIC_POSITIONS crystal
Si 0.000 0.000 0.000
Si 0.109 0.769 0.248
Si 0.168 0.551 0.249
Si 0.231 0.339 0.248
Si 0.339 0.109 0.752
Si 0.384 0.832 0.249
Si 0.449 0.616 0.249
Si 0.551 0.384 0.751
Si 0.616 0.168 0.751
Si 0.661 0.891 0.248
Si 0.769 0.661 0.752
Si 0.832 0.449 0.751
Si 0.891 0.231 0.752
Rh 0.006 0.817 0.752
Rh 0.071 0.610 0.749
Rh 0.127 0.399 0.746
Rh 0.183 0.189 0.752
Rh 0.189 0.006 0.248
Rh 0.272 0.873 0.746
Rh 0.333 0.667 0.754
Rh 0.390 0.461 0.749
Rh 0.399 0.272 0.254
Rh 0.461 0.071 0.251
Rh 0.539 0.929 0.749
Rh 0.601 0.728 0.746
Rh 0.610 0.539 0.251
Rh 0.667 0.333 0.246
Rh 0.728 0.127 0.254
Rh 0.811 0.994 0.752
Rh 0.817 0.811 0.248
Rh 0.873 0.601 0.254
Rh 0.929 0.390 0.251
Rh 0.994 0.183 0.248
```

Values from the calculation:
E_form (uncorrected) (eV/atom): -0.75
Density of states at the Fermi level (states/eV/atom): 0.69

---

(5)
Here is Si2Rh after structural relaxation from the Alexandria database. Energies are from PBE-GGA. Values from VASP.

The structure in Quantum ESPRESSO input format:
```
&SYSTEM
  ibrav = 0, nat = 12, ntyp = 2
/
ATOMIC_SPECIES
Si 28.09 Si.upf
Rh 102.91 Rh.upf
CELL_PARAMETERS angstrom
4.921 0.000 0.000
-2.460 4.261 0.000
0.000 0.000 9.033
ATOMIC_POSITIONS crystal
Si 0.000 0.000 0.000
Si 0.000 0.000 0.500
Si 0.161 0.322 0.250
Si 0.161 0.839 0.250
Si 0.322 0.161 0.750
Si 0.678 0.839 0.250
Si 0.839 0.161 0.750
Si 0.839 0.678 0.750
Rh 0.333 0.667 0.045
Rh 0.333 0.667 0.455
Rh 0.667 0.333 0.545
Rh 0.667 0.333 0.955
```

Values from the calculation:
E_form (uncorrected) (eV/atom): 0.05
Density of states at the Fermi level (states/eV/atom): 0.45

---

(6)
Here is Si5Rh3 after structural relaxation from the Alexandria database. Energies are from PBE-GGA. Values from VASP.

The structure in Quantum ESPRESSO input format:
```
&SYSTEM
  ibrav = 0, nat = 8, ntyp = 2
/
ATOMIC_SPECIES
Si 28.09 Si.upf
Rh 102.91 Rh.upf
CELL_PARAMETERS angstrom
3.581 -3.661 0.000
3.581 3.661 0.000
0.000 0.000 4.167
ATOMIC_POSITIONS crystal
Si 0.000 0.000 0.000
Si 0.000 0.500 0.000
Si 0.299 0.701 0.500
Si 0.500 0.000 0.000
Si 0.701 0.299 0.500
Rh 0.197 0.197 0.500
Rh 0.500 0.500 0.000
Rh 0.803 0.803 0.500
```

Values from the calculation:
E_form (uncorrected) (eV/atom): -0.24
Distance to the lowest polymorph of the same formula (meV per atom): 0
Density of states at the Fermi level (states/eV/atom): 0.70